LiEr6Cu5: relaxed, PBE.

Properties
- Formation energy from the elements: -2.59 eV per formula unit
- SG: Cmmm, No. 65

Geometry as POSCAR:
```
LiEr6Cu5
1.0
2.448 -7.373 0.000
2.448 7.373 0.000
0.000 0.000 6.881
Li Er Cu
1 6 5
direct
0.000 0.000 0.000
0.170 0.830 0.253
0.170 0.830 0.747
0.500 0.500 0.259
0.500 0.500 0.741
0.830 0.170 0.253
0.830 0.170 0.747
0.000 0.000 0.500
0.332 0.668 0.500
0.342 0.658 0.000
0.658 0.342 0.000
0.668 0.332 0.500
```


SrAs2: relaxed, PBE.

Properties
- Formation energy from the elements: -1.69 eV per formula unit
- SG: Pnnm, No. 58

Geometry as POSCAR:
```
SrAs2
1.0
4.068 0.000 0.000
0.000 7.520 0.000
0.000 0.000 5.830
Sr As
2 4
direct
0.000 0.000 0.000
0.500 0.500 0.500
0.249 0.100 0.500
0.251 0.600 0.000
0.749 0.400 0.000
0.751 0.900 0.500
```


Dy7ErTm2: relaxed, PBE.

Properties
- Formation energy from the elements: 6.97 eV per formula unit
- SG: Cmmm, No. 65

Geometry as POSCAR:
```
Dy7ErTm2
1.0
4.335 -8.334 0.000
4.335 8.334 0.000
0.000 0.000 5.293
Dy Er Tm
7 1 2
direct
0.000 0.000 0.000
0.211 0.433 0.000
0.299 0.701 0.500
0.433 0.211 0.000
0.567 0.789 0.000
0.701 0.299 0.500
0.789 0.567 0.000
0.500 0.500 0.500
0.202 0.798 0.000
0.798 0.202 0.000
```


Ac2DyPdO5: relaxed, PBE.

Properties
- Uncorrected formation energy: -2.30 eV/atom
- SG: P4/mbm, No. 127

Geometry as POSCAR:
```
Ac2DyPdO5
1.0
6.918 0.000 0.000
0.000 6.918 0.000
0.000 0.000 6.000
Ac Dy Pd O
4 2 2 10
direct
0.163 0.337 0.000
0.337 0.837 0.000
0.663 0.163 0.000
0.837 0.663 0.000
0.000 0.000 0.500
0.500 0.500 0.500
0.000 0.500 0.500
0.500 0.000 0.500
0.000 0.000 0.000
0.170 0.670 0.274
0.170 0.670 0.726
0.330 0.170 0.274
0.330 0.170 0.726
0.500 0.500 0.000
0.670 0.830 0.274
0.670 0.830 0.726
0.830 0.330 0.274
0.830 0.330 0.726
```


RuRhAu2: relaxed, PBE.

Properties
- Formation energy from the elements: 1.31 eV per formula unit
- SG: I-4m2, No. 119

Geometry as POSCAR:
```
RuRhAu2
1.0
3.991 0.000 0.000
0.000 3.991 0.000
0.000 0.000 8.000
Ru Rh Au
2 2 4
direct
0.000 0.000 0.000
0.500 0.500 0.500
0.000 0.500 0.250
0.500 0.000 0.750
0.000 0.000 0.500
0.000 0.500 0.750
0.500 0.000 0.250
0.500 0.500 0.000
```


TmScCuPb: relaxed, PBE.

Properties
- Formation energy from the elements: -1.04 eV per formula unit
- SG: F-43m, No. 216

Geometry as POSCAR:
```
TmScCuPb
1.0
7.107 0.000 0.000
0.000 7.107 0.000
0.000 0.000 7.107
Tm Sc Cu Pb
4 4 4 4
direct
0.000 0.000 0.000
0.000 0.500 0.500
0.500 0.000 0.500
0.500 0.500 0.000
0.000 0.000 0.500
0.000 0.500 0.000
0.500 0.000 0.000
0.500 0.500 0.500
0.250 0.250 0.250
0.250 0.750 0.750
0.750 0.250 0.750
0.750 0.750 0.250
0.250 0.250 0.750
0.250 0.750 0.250
0.750 0.250 0.250
0.750 0.750 0.750
```


PrCu4Ge2: relaxed, PBE.

Properties
- Formation energy from the elements: -2.19 eV per formula unit
- SG: R-3m, No. 166

Geometry as POSCAR:
```
PrCu4Ge2
1.0
2.084 1.203 7.708
-2.084 1.203 7.708
0.000 -2.407 7.708
Pr Cu Ge
1 4 2
direct
0.000 0.000 0.000
0.141 0.141 0.141
0.440 0.440 0.440
0.560 0.560 0.560
0.859 0.859 0.859
0.249 0.249 0.249
0.751 0.751 0.751
```


AcNdIn4: relaxed, PBE.

Properties
- Formation energy from the elements: -2.72 eV per formula unit
- SG: P6/mmm, No. 191

Geometry as POSCAR:
```
AcNdIn4
1.0
5.079 0.000 0.000
-2.540 4.399 0.000
0.000 0.000 7.777
Ac Nd In
1 1 4
direct
0.000 0.000 0.000
0.000 0.000 0.500
0.333 0.667 0.267
0.333 0.667 0.733
0.667 0.333 0.267
0.667 0.333 0.733
```


TbHoTe: relaxed, PBE.

Properties
- Uncorrected formation energy: -0.85 eV/atom
- SG: Pnma, No. 62

Geometry as POSCAR:
```
TbHoTe
1.0
8.236 0.000 0.000
0.000 3.950 0.000
0.000 0.000 10.601
Tb Ho Te
4 4 4
direct
0.001 0.250 0.162
0.499 0.750 0.662
0.501 0.250 0.338
0.999 0.750 0.838
0.156 0.250 0.556
0.344 0.750 0.056
0.656 0.250 0.944
0.844 0.750 0.444
0.202 0.750 0.331
0.298 0.250 0.831
0.702 0.750 0.169
0.798 0.250 0.669
```


PmNdBeCu: relaxed, PBE.

Properties
- Formation energy from the elements: 0.14 eV per formula unit
- SG: F-43m, No. 216

Geometry as POSCAR:
```
PmNdBeCu
1.0
7.116 0.000 0.000
0.000 7.116 0.000
0.000 0.000 7.116
Pm Nd Be Cu
4 4 4 4
direct
0.000 0.000 0.000
0.000 0.500 0.500
0.500 0.000 0.500
0.500 0.500 0.000
0.000 0.000 0.500
0.000 0.500 0.000
0.500 0.000 0.000
0.500 0.500 0.500
0.250 0.250 0.250
0.250 0.750 0.750
0.750 0.250 0.750
0.750 0.750 0.250
0.250 0.250 0.750
0.250 0.750 0.250
0.750 0.250 0.250
0.750 0.750 0.750
```


La6CoHPt2: relaxed, PBE.

Properties
- Raw total energy: -5.831 eV per atom
- SG: P2_1/c, No. 14

Geometry as POSCAR:
```
La6CoHPt2
1.0
6.870 0.000 0.000
0.000 7.507 0.000
-6.273 0.000 10.400
La Co H Pt
12 2 2 4
direct
0.105 0.040 0.254
0.105 0.460 0.754
0.240 0.680 0.069
0.240 0.820 0.569
0.382 0.181 0.064
0.382 0.319 0.564
0.618 0.681 0.436
0.618 0.819 0.936
0.760 0.180 0.431
0.760 0.320 0.931
0.895 0.540 0.246
0.895 0.960 0.746
0.000 0.000 0.000
0.000 0.500 0.500
0.500 0.000 0.500
0.500 0.500 0.000
0.325 0.113 0.770
0.325 0.387 0.270
0.675 0.613 0.730
0.675 0.887 0.230
```


Cs2Li2Cd: relaxed, PBE.

Properties
- Formation energy from the elements: 0.71 eV per formula unit
- SG: P4/mbm, No. 127

Geometry as POSCAR:
```
Cs2Li2Cd
1.0
8.256 0.000 0.000
0.000 8.256 0.000
0.000 0.000 6.524
Cs Li Cd
4 4 2
direct
0.189 0.311 0.000
0.311 0.811 0.000
0.689 0.189 0.000
0.811 0.689 0.000
0.144 0.644 0.500
0.356 0.144 0.500
0.644 0.856 0.500
0.856 0.356 0.500
0.000 0.000 0.500
0.500 0.500 0.500
```


no.,total magnetization (μB per formula unit)
1,0.0
2,0.0
3,0.0
4,1.0
5,0.7
6,0.6
7,0.0
8,0.0
9,0.0
10,0.0
11,0.0
12,0.0